DFT (PBE) results for an optimized crystal structure of PuTl4.

Results
Energy above the lowest structure with this stoichiometry (kcal/mol of atoms): 0.00
Density of states at the Fermi level (states/eV/cell): 29.64
Symmetry: Imma

Lattice parameters (Å, degrees): 5.113 6.720 9.295 111.19 105.96 90.00
Last column: magnetic moment on the atom in μB.
Fractional coordinates of all 10 atoms:
Tl (0.895, 0.645, 0.790)  0.01
Tl (0.697, 0.191, 0.394)  0.01
Tl (0.303, 0.809, 0.606)  0.01
Pu (0.100, 0.850, 0.200)  5.56
Pu (0.900, 0.150, 0.800)  5.56
Tl (0.105, 0.355, 0.210)  0.01
Tl (0.697, 0.703, 0.394)  0.01
Tl (0.500, 0.500, 0.000)  0.01
Tl (0.500, 0.000, 0.000)  0.01
Tl (0.303, 0.297, 0.606)  0.01



DFT (PBE) results for an optimized crystal structure of PmSnIr2.

Results
Density of states at the Fermi level (states/eV/cell): 2.42
Calculated total energy (eV for the cell shown): -27.71
Symmetry: P4/mmm

Lattice parameters (Å, degrees): 3.518 3.518 6.392 90.00 90.00 90.00
Fractional coordinates of all 4 atoms:
Sn (0.500, 0.500, 0.000)
Pm (0.500, 0.500, 0.500)
Ir (0.000, 0.000, 0.777)
Ir (0.000, 0.000, 0.223)